[1]
Ti2ReH | PBE | optimized geometry

The space group is R-3m (No. 166, hexagonal axes) and the conventional cell measures 3.0269, 3.0269 and 19.0352 Å, with angles of 90.00, 90.00 and 120.00 degrees. The inequivalent atoms are Ti at (0.0000, 0.0000, 0.2316), Re at (0.0000, 0.0000, 0.0000) and H at (0.0000, 0.0000, 0.5000).

The value obtained for the energy above the lowest structure with this stoichiometry is 0 meV per atom. The calculation puts the mass density at 9333 kg/m³.

=====

[2]
Ti2TcHW | PBE | optimized geometry

The space group is P4/mmm (No. 123) and the conventional cell measures 4.402, 4.402 and 3.360 Å, with angles of 90.00, 90.00 and 90.00 degrees. The inequivalent atoms are Ti at (0.000, 0.500, 0.000), Tc at (0.000, 0.000, 0.500), H at (0.000, 0.000, 0.000) and W at (0.500, 0.500, 0.500).

The calculation puts the mass density at 9653 kg/m³. The calculation puts the energy at -8.640 eV/atom.